CdWIO2 after structural relaxation. Source: the Alexandria database, functional PBE+U.

Lattice parameters (Å, degrees): 4.0605 4.0605 6.4592 90.00 90.00 90.00
Element x y z (fractional)
Cd 0.0000 0.0000 0.0000
W 0.5000 0.5000 0.5000
I 0.5000 0.5000 0.0000
O 0.0000 0.5000 0.5000
O 0.5000 0.0000 0.5000

Output
ΔE to the lowest computed polymorph, meV per atom: 0